An optimized crystal structure of Ba2LiMn2P4O14, computed with PBE+U.

Geometry as CIF:
```
data_Ba2LiMn2P4O14
_space_group_name_H-M_alt 'P 1'
_space_group_IT_number 1
_space_group_name_Hall 'P 1'
_cell_length_a 5.397
_cell_length_b 7.863
_cell_length_c 9.214
_cell_angle_alpha 114.84
_cell_angle_beta 90.16
_cell_angle_gamma 91.92
loop_
_atom_site_label
_atom_site_type_symbol
_atom_site_fract_x
_atom_site_fract_y
_atom_site_fract_z
Ba1 Ba 0.000 0.000 0.000
Ba2 Ba 0.369 0.990 0.500
Li1 Li 0.386 0.679 0.704
Mn1 Mn 0.010 0.549 0.144
Mn2 Mn 0.391 0.402 0.368
P1 P 0.488 0.305 0.965
P2 P 0.509 0.703 0.035
P3 P 0.878 0.214 0.430
P4 P 0.901 0.626 0.538
O1 O 0.039 0.770 0.686
O2 O 0.053 0.592 0.386
O3 O 0.111 0.180 0.327
O4 O 0.303 0.345 0.105
O5 O 0.316 0.747 0.167
O6 O 0.409 0.129 0.821
O7 O 0.463 0.481 0.915
O8 O 0.467 0.806 0.929
O9 O 0.626 0.667 0.520
O10 O 0.643 0.187 0.326
O11 O 0.757 0.313 0.024
O12 O 0.778 0.732 0.097
O13 O 0.871 0.096 0.526
O14 O 0.891 0.433 0.563
```

Results
DFT total energy	-165.38	eV for the cell shown